Here is an optimized crystal structure of ZnInSb3 from the Alexandria database. Energies are from GGA-PBE.

The formation energy (no corrections) comes out at 0.452 eV per atom. Its density of states at the Fermi level is 3.81 states/eV/cell. The calculation puts the total energy at -0.104 Ha/atom. The space-group type is Pm-3m, No. 221.

Lattice parameters (Å, degrees): 5.3076 5.3076 5.3076 90.00 90.00 90.00
Last column: nearest neighbours and their distance in Å.
Fractional coordinates of all 5 atoms:
Zn 0.0000 0.0000 0.0000  6 Sb 2.65
In 0.5000 0.5000 0.5000  12 Sb 3.75
Sb 0.0000 0.0000 0.5000  2 Zn 2.65
Sb 0.0000 0.5000 0.0000  2 Zn 2.65
Sb 0.5000 0.0000 0.0000  2 Zn 2.65


Here is an optimized crystal structure of Os2RuPb from the Alexandria database. Energies are from GGA-PBE.

The value obtained for the formation energy is 727 meV/atom. Its density of states at the Fermi level is 4.88 states/eV/cell. The calculation puts the total energy at -0.299 Ha/atom. The space-group type is R3m, No. 160.

Lattice parameters (Å, degrees): 9.4691 9.4691 9.4691 17.56 17.56 17.56
Last column: nearest neighbours and their distance in Å.
Fractional coordinates of all 4 atoms:
Os 0.0000 0.0000 0.0000  9 Os 2.66-2.89, 3 Ru 2.68
Os 0.2595 0.2595 0.2595  9 Os 2.66-2.89
Ru 0.7417 0.7417 0.7417  3 Os 2.68, 6 Ru 2.89
Pb 0.4986 0.4986 0.4986  6 Pb 2.89, 3 Ru 3.03, 3 Os 3.12


Here is an optimized crystal structure of Y4PSeS2 from the Alexandria database. Energies are from GGA-PBE.

The formation energy (no corrections) comes out at -1.893 eV per atom. Its density of states at the Fermi level is 2.79 states/eV/cell. The calculation puts the total energy at -0.267 Ha/atom. The space-group type is P2/m, No. 10.

Lattice parameters (Å, degrees): 6.8690 3.9746 6.9666 90.00 109.23 90.00
Last column: nearest neighbours and their distance in Å.
Fractional coordinates of all 8 atoms:
Y 0.2414 0.0000 0.2310  3 S 2.74-2.88, 1 P 2.76, 2 Se 2.90
Y 0.2523 0.5000 0.7649  3 S 2.75-2.87, 2 P 2.77, 1 Se 2.89
Y 0.7477 0.5000 0.2351  3 S 2.75-2.87, 2 P 2.77, 1 Se 2.89
Y 0.7586 0.0000 0.7690  3 S 2.74-2.88, 1 P 2.76, 2 Se 2.90
P 0.5000 0.0000 0.0000  6 Y 2.76-2.77
Se 0.5000 0.5000 0.5000  6 Y 2.89-2.90
S 0.0000 0.0000 0.5000  6 Y 2.87-2.88
S 0.0000 0.5000 0.0000  6 Y 2.74-2.75


Number 2 is which compound? Os2RuPb


Which formula does entry 3 have? Y4PSeS2